No. 1
Here is crystalline Ho3LuCl at its relaxed geometry from Alexandria via LeMat-Bulk. Energies are from PBE.

a = 5.2233 Å, b = 5.2233 Å, c = 5.2233 Å
α = 90.00°, β = 90.00°, γ = 90.00°
Positions (direct):
Ho1 0.0000 0.0000 0.5000
Ho2 0.0000 0.5000 0.0000
Ho3 0.5000 0.0000 0.0000
Lu1 0.5000 0.5000 0.5000
Cl1 0.0000 0.0000 0.0000

Values from the calculation:
The value obtained for the formation energy (no corrections) is -0.41 eV/atom. Its space group is No. 221.

No. 2
Here is crystalline CsTl3Rh at its relaxed geometry from Alexandria via LeMat-Bulk. Energies are from PBE.

a = 6.7308 Å, b = 7.7833 Å, c = 6.7311 Å
α = 90.00°, β = 110.90°, γ = 90.00°
Positions (direct):
Cs1 0.2249 0.2500 0.2732
Cs2 0.7751 0.7500 0.7268
Tl1 0.1635 0.7500 0.3380
Tl2 0.2822 0.0013 0.7805
Tl3 0.2822 0.4987 0.7805
Tl4 0.7178 0.5013 0.2195
Tl5 0.7178 0.9987 0.2195
Tl6 0.8365 0.2500 0.6620
Rh1 0.4031 0.7500 0.0912
Rh2 0.5969 0.2500 0.9088

Values from the calculation:
The calculation puts the total DFT energy (no corrections) at -30.256 eV/cell. Its space group is No. 11.